VASP calculation (PBE) on crystalline CsPdSN2 at its relaxed geometry.

abc: 4.170 4.170 6.372
angles: 90.00 90.00 90.00
Space group P4/mmm (No. 123)
One atom of each set of equivalent atoms:
1 Cs 0.000 0.000 0.000
2 Pd 0.500 0.500 0.500
3 S 0.000 0.000 0.500
4 N 0.000 0.500 0.000

For the final energy, the calculation gives -2.717 eV/atom. As for the uncorrected formation energy: 13.2 eV/f.u. Its density of states at the Fermi level is 6.706 states/eV per cell.

VASP calculation (PBE) on crystalline CsPdSe2N at its relaxed geometry.

abc: 5.970 5.970 4.480
angles: 90.00 90.00 90.00
Space group P4/mmm (No. 123)
One atom of each set of equivalent atoms:
1 Cs 0.000 0.000 0.000
2 Pd 0.500 0.500 0.500
3 Se 0.000 0.500 0.000
4 N 0.000 0.000 0.500

For the final energy, the calculation gives -2.253 eV/atom. As for the uncorrected formation energy: 10.1 eV/f.u. The value obtained for the distance to the lowest polymorph of the same formula is 1601 meV/atom. Its density of states at the Fermi level is 4.672 states/eV per cell.

VASP calculation (PBE) on crystalline CsPdSe2N at its relaxed geometry.

abc: 5.783 5.783 3.727
angles: 90.00 90.00 90.00
Space group P4/mmm (No. 123)
One atom of each set of equivalent atoms:
1 Cs 0.000 0.000 0.000
2 Pd 0.500 0.500 0.500
3 Se 0.000 0.500 0.500
4 N 0.500 0.500 0.000

For the final energy, the calculation gives -3.854 eV/atom. As for the uncorrected formation energy: 2.1 eV/f.u. The value obtained for the distance to the lowest polymorph of the same formula is 0 meV/atom. Its density of states at the Fermi level is 5.383 states/eV per cell.

What is the final energy in the first record?
-2.717 eV/atom